The following is a PBE with a Hubbard U calculation of a relaxed structure of FeSnTeO6, from Alexandria via LeMat-Bulk.

energy	-5.780	eV/atom
space group	P-31c (163)
D(E_F)	2.27	states/eV/f.u.

```
18
Lattice="5.155 0.000 0.000 -2.577 4.464 0.000 0.000 0.000 9.182" Properties=species:S:1:pos:R:3 pbc="T T T"
Fe 0.000 2.976 2.295
Fe 2.577 1.488 6.886
Sn 0.000 0.000 0.000
Sn 0.000 0.000 4.591
Te 0.000 2.976 6.886
Te 2.577 1.488 2.295
O -0.896 1.558 5.810
O -1.676 2.910 7.962
O 0.896 1.558 7.962
O -0.780 4.461 5.810
O 1.797 0.003 1.219
O 0.901 1.555 3.371
O 1.676 2.910 5.810
O 0.780 4.461 7.962
O 3.358 0.003 3.371
O 1.682 2.907 1.219
O 4.254 1.555 1.219
O 3.473 2.907 3.371
```